Entry 1:
Below is an optimized crystal structure of CdCoGeP, with properties calculated at the GGA-PBE level.

abc: 6.3742 3.7070 6.7536
angles: 90.00 108.03 90.00
Last column: nearest neighbours and their distance in Å.
Space group Cm (No. 8)
Inequivalent atoms, fractional coordinates:
1 Cd 0.0000 0.0000 0.0000 [2 per cell]  1 Co 2.59, 1 Ge 2.62
2 Co 0.1394 0.0000 0.4032 [2 per cell]  3 P 2.18
3 Ge 0.3678 0.5000 0.5927 [2 per cell]  3 Co 2.45-2.46, 1 Cd 2.62, 3 P 2.71-2.73
4 P 0.4496 0.0000 0.3297 [2 per cell]  3 Co 2.18

E_tot	-36.70	eV per cell


Entry 2:
Below is an optimized crystal structure of CdCoGeP, with properties calculated at the GGA-PBE level.

abc: 3.0388 3.0523 8.7736
angles: 80.78 80.54 60.32
Last column: nearest neighbours and their distance in Å.
Space group P1 (No. 1)
Inequivalent atoms, fractional coordinates:
1 Cd 0.0000 0.0000 0.0000 [1 per cell]  3 Co 2.79-2.81, 1 Ge 2.83, 6 Cd 3.04-3.06
2 Co 0.5822 0.5849 0.2525 [1 per cell]  3 P 2.13
3 Ge 0.1147 0.1359 0.6715 [1 per cell]  1 P 2.42
4 P 0.2042 0.2078 0.3908 [1 per cell]  3 Co 2.13

E_tot	-18.13	eV per cell


Entry 3:
Below is an optimized crystal structure of CdCoGe2P, with properties calculated at the GGA-PBE level.

abc: 2.8258 5.4902 5.6092
angles: 94.87 90.00 90.09
Last column: nearest neighbours and their distance in Å.
Space group P1 (No. 1)
Inequivalent atoms, fractional coordinates:
1 Cd 0.0000 0.0000 0.0000 [1 per cell]  2 Ge 2.68-2.82, 2 P 2.68-2.93, 2 Co 2.81, 2 Cd 2.83
2 Co 0.4973 0.7382 0.3283 [1 per cell]  2 P 2.23
3 Ge 0.9936 0.4890 0.0286 [1 per cell]  2 Co 2.51-2.52, 1 Ge 2.62, 1 Cd 2.68
4 Ge 0.9963 0.4637 0.5602 [1 per cell]  2 Co 2.51, 1 P 2.54, 1 Ge 2.62
5 P 0.9981 0.9997 0.5229 [1 per cell]  2 Co 2.23

E_tot	-22.61	eV per cell


Entry 4:
Below is an optimized crystal structure of CdCoGeP, with properties calculated at the GGA-PBE level.

abc: 3.1427 3.1427 7.9816
angles: 90.00 90.00 120.00
Last column: nearest neighbours and their distance in Å.
Space group P3m1 (No. 156)
Inequivalent atoms, fractional coordinates:
1 Cd 0.0000 0.0000 0.0000 [1 per cell]  1 P 2.60
2 Co 0.6667 0.3333 0.4727 [1 per cell]  3 P 2.16
3 Ge 0.3333 0.6667 0.7029 [1 per cell]  3 Co 2.58
4 P 0.0000 0.0000 0.3260 [1 per cell]  3 Co 2.16

E_tot	-18.22	eV per cell


Entry 5:
Below is an optimized crystal structure of CdCoGe2P, with properties calculated at the GGA-PBE level.

abc: 11.6848 3.7664 4.2741
angles: 90.00 111.38 90.00
Last column: nearest neighbours and their distance in Å.
Space group Cm (No. 8)
Inequivalent atoms, fractional coordinates:
1 Cd 0.0000 0.0000 0.0000 [2 per cell]  1 P 2.58, 2 Co 2.71-2.79, 4 Ge 2.85-2.87
2 Co 0.3410 0.5000 0.3534 [2 per cell]  2 P 2.28, 3 Ge 2.39-2.40
3 Ge 0.2265 0.5000 0.7609 [2 per cell]  2 Co 2.39-2.55, 2 P 2.57
4 Ge 0.4773 0.0000 0.4732 [2 per cell]  2 Co 2.40
5 P 0.2322 0.0000 0.3569 [2 per cell]  2 Co 2.28

E_tot	-45.55	eV per cell


Entry 6:
Below is an optimized crystal structure of CdCoGe2P, with properties calculated at the GGA-PBE level.

abc: 11.9736 3.8304 4.2259
angles: 90.00 106.06 90.00
Last column: nearest neighbours and their distance in Å.
Space group Cm (No. 8)
Inequivalent atoms, fractional coordinates:
1 Cd 0.0000 0.0000 0.0000 [2 per cell]  1 Ge 2.64, 2 Co 2.68-2.82, 2 P 2.95
2 Co 0.3474 0.5000 0.4021 [2 per cell]  2 P 2.15, 1 Ge 2.37
3 Ge 0.2111 0.0000 0.4089 [2 per cell]  2 Co 2.52, 2 Ge 2.61, 1 P 2.61, 1 Cd 2.64
4 Ge 0.2380 0.5000 0.8421 [2 per cell]  2 Co 2.37-2.55, 2 Ge 2.61
5 P 0.4325 0.0000 0.4504 [2 per cell]  2 Co 2.15

E_tot	-45.22	eV per cell


Look up the E_tot of the second one.
-18.13 eV per cell


The lowest E_tot belongs to which entry?
number 5


Among the records above, which one has the lowest E_tot?
number 5


What is the formula in the sixth record?
CdCoGe2P